1.
Density functional theory data (PBE) for a relaxed CeTmTcAg crystal.

The value obtained for the density of states at the Fermi level is 5.0 states/eV/f.u. The value obtained for the formation energy is -0.09 eV per atom. As for the space-group type: F-43m. The value obtained for the total magnetic moment is 0.3 μB/f.u.

a b c (Å): 4.9814 4.9814 4.9814
angles (deg): 60.00 60.00 60.00
Last column: nearest neighbours and their distance in Å.
Fractional coordinates of all 4 atoms:
1 Ce 0.0000 0.0000 0.0000  4 Ag 3.05, 4 Tc 3.05
2 Tc 0.7500 0.7500 0.7500  4 Tm 3.05, 4 Ce 3.05
3 Ag 0.2500 0.2500 0.2500  4 Ce 3.05, 4 Tm 3.05
4 Tm 0.5000 0.5000 0.5000  4 Tc 3.05, 4 Ag 3.05


2.
Density functional theory data (PBE) for a relaxed DyFeC crystal.

The value obtained for the density of states at the Fermi level is 2.1 states/eV/f.u. The value obtained for the formation energy is 0.05 eV per atom. As for the space-group type: Pbcm. The value obtained for the total magnetic moment is 1.0 μB/f.u.

a b c (Å): 5.0299 5.9636 5.1467
angles (deg): 90.00 90.00 90.00
Last column: nearest neighbours and their distance in Å.
Fractional coordinates of all 12 atoms:
1 Fe 0.4097 0.7500 0.0913  4 C 2.10-2.21
2 Fe 0.9097 0.7500 0.0913  4 C 2.10-2.21
3 Fe 0.9097 0.2500 0.9087  4 C 2.10-2.21
4 Fe 0.4097 0.2500 0.9087  4 C 2.10-2.21
5 Dy 0.6597 0.9122 0.6465  5 C 2.52-2.75, 4 Fe 2.73-2.79
6 Dy 0.1597 0.5878 0.6465  5 C 2.52-2.75, 4 Fe 2.73-2.79
7 Dy 0.1597 0.0878 0.3535  5 C 2.52-2.75, 4 Fe 2.73-2.79
8 Dy 0.6597 0.4122 0.3535  5 C 2.52-2.75, 4 Fe 2.73-2.79
9 C 0.6596 0.0276 0.1513  4 Fe 2.10-2.21
10 C 0.1596 0.9724 0.8487  4 Fe 2.10-2.21
11 C 0.1596 0.4724 0.1513  4 Fe 2.10-2.21
12 C 0.6596 0.5276 0.8487  4 Fe 2.10-2.21


3.
Density functional theory data (PBE) for a relaxed VCrCo2As crystal.

The value obtained for the density of states at the Fermi level is 8.7 states/eV/f.u. The value obtained for the formation energy is 1.22 eV per atom. As for the space-group type: P4/mmm. The value obtained for the total magnetic moment is 0.5 μB/f.u.

a b c (Å): 4.1575 4.5342 4.1575
angles (deg): 90.00 90.00 90.00
Last column: nearest neighbours and their distance in Å.
Fractional coordinates of all 5 atoms:
1 As 0.0000 0.5000 0.0000  2 V 2.27
2 Cr 0.5000 0.5000 0.5000  4 As 2.94, 8 Co 3.08
3 V 0.0000 0.0000 0.0000  4 Co 2.08, 2 As 2.27
4 Co 0.5000 0.0000 0.0000  2 V 2.08
5 Co 0.0000 0.0000 0.5000  2 V 2.08


4.
Density functional theory data (PBE) for a relaxed Np3Tl4GeTe8 crystal.

The value obtained for the density of states at the Fermi level is 27.4 states/eV/f.u. The energy relative to the elements, uncorrected comes out at -0.4750 eV/atom. As for the space-group type: R-3m. The value obtained for the total magnetic moment is 11.0 μB/f.u.

a b c (Å): 8.9829 9.6013 8.9834
angles (deg): 117.90 120.00 90.00
Last column: nearest neighbours and their distance in Å.
Fractional coordinates of all 16 atoms:
1 Te 0.7381 0.7143 0.4762  3 Np 3.12, 3 Tl 3.47
2 Te 0.2339 0.7075 0.9736  1 Ge 3.06, 2 Np 3.10
3 Te 0.2339 0.7075 0.4678  1 Ge 3.06, 2 Np 3.10
4 Te 0.2603 0.2925 0.0264  1 Ge 3.06, 2 Np 3.10
5 Te 0.7397 0.7075 0.9736  1 Ge 3.06, 2 Np 3.10
6 Te 0.7661 0.2925 0.0264  1 Ge 3.06, 2 Np 3.10
7 Te 0.2619 0.2857 0.5238  3 Np 3.12, 3 Tl 3.47
8 Te 0.7661 0.2925 0.5322  1 Ge 3.06, 2 Np 3.10
9 Tl 0.5000 0.0000 0.5000  6 Te 3.47-3.50
10 Tl 0.0000 0.0000 0.5000  6 Te 3.47-3.50
11 Tl 0.0000 0.0000 0.0000  6 Te 3.47-3.50
12 Tl 0.5000 0.0000 0.0000  6 Te 3.53
13 Np 0.0000 0.5000 0.5000  6 Te 3.10-3.12
14 Np 0.5000 0.5000 0.0000  6 Te 3.10-3.12
15 Np 0.5000 0.5000 0.5000  6 Te 3.10-3.12
16 Ge 0.0000 0.5000 0.0000  6 Te 3.06


5.
Density functional theory data (PBE) for a relaxed NbSbTeH2 crystal.

The value obtained for the density of states at the Fermi level is 3.0 states/eV/f.u. As for the space-group type: P4/mmm. The value obtained for the total magnetic moment is 1.4 μB/f.u.

a b c (Å): 3.9515 5.8694 3.9515
angles (deg): 90.00 90.00 90.00
Last column: nearest neighbours and their distance in Å.
Fractional coordinates of all 5 atoms:
1 Te 0.5000 0.5000 0.5000  4 Nb 2.79
2 H 0.0000 0.0000 0.5000  2 Sb 1.98
3 H 0.5000 0.0000 0.0000  2 Sb 1.98
4 Nb 0.0000 0.5000 0.0000  4 Te 2.79, 2 Sb 2.93
5 Sb 0.0000 0.0000 0.0000  4 H 1.98


6.
Density functional theory data (PBE) for a relaxed NpUP2Ir2 crystal.

The value obtained for the density of states at the Fermi level is 11.4 states/eV/f.u. The value obtained for the formation energy is -0.82 eV per atom. As for the space-group type: P-3m1. The value obtained for the total magnetic moment is 5.0 μB/f.u.

a b c (Å): 4.0698 4.0698 7.6749
angles (deg): 90.00 90.00 120.00
Last column: nearest neighbours and their distance in Å.
Fractional coordinates of all 6 atoms:
1 U 0.0000 0.0000 0.0000  6 Ir 2.90, 6 P 3.15
2 Ir 0.3333 0.6667 0.7796  3 P 2.38
3 Ir 0.6667 0.3333 0.2204  3 P 2.38
4 P 0.6667 0.3333 0.7266  3 Ir 2.38
5 P 0.3333 0.6667 0.2734  3 Ir 2.38
6 Np 0.0000 0.0000 0.5000  6 P 2.92, 6 Ir 3.18


Going through the records in order, we get total energy values of -24.0, -22.1, -31.5, -85.6, -22.5, -57.7 eV/f.u..